## P
DFT (PBE-GGA) results for an optimized crystal structure of CaRhW3.

The value obtained for the density of states at the Fermi level is 6.93 states/eV per cell.

The structure belongs to space group Pm-3m (No. 221); the cell edges are 4.521, 4.521 and 4.521 Å and the angles 90.00°, 90.00° and 90.00°. The inequivalent atoms are Ca at (0.000, 0.000, 0.000), Rh at (0.500, 0.500, 0.500) and W at (0.000, 0.000, 0.500).

## Q
DFT (PBE-GGA) results for an optimized crystal structure of CaRhW3.

The value obtained for the density of states at the Fermi level is 9.03 states/eV per cell.

The structure belongs to space group Pm-3m (No. 221); the cell edges are 4.809, 4.809 and 4.809 Å and the angles 90.00°, 90.00° and 90.00°. The inequivalent atoms are Ca at (0.000, 0.000, 0.000), Rh at (0.500, 0.500, 0.500) and W at (0.000, 0.500, 0.500).

Stability ranking, top entry: Q; the second entry is 144.4 kJ/mol of atoms less favorable.

## P
DFT (PBE-GGA) results for an optimized crystal structure of CaYRh.

The value obtained for the density of states at the Fermi level is 1.56 states/eV per cell.

The structure belongs to space group F-43m (No. 216); the cell edges are 6.843, 6.843 and 6.843 Å and the angles 90.00°, 90.00° and 90.00°. The inequivalent atoms are Ca at (0.000, 0.000, 0.000), Y at (0.000, 0.000, 0.500) and Rh at (0.250, 0.250, 0.250).

## Q
DFT (PBE-GGA) results for an optimized crystal structure of CaYRh.

The value obtained for the density of states at the Fermi level is 0.97 states/eV per cell.

The structure belongs to space group P3m1 (No. 156); the cell edges are 3.9660, 3.9660 and 6.5644 Å and the angles 90.00°, 90.00° and 120.00°. The inequivalent atoms are Ca at (0.0000, 0.0000, 0.0000), Y at (0.3333, 0.6667, 0.4835) and Rh at (0.6667, 0.3333, 0.2625).

Stability ranking, top entry: P; the second entry is 6.4 kJ/mol of atoms less favorable.

## P
DFT (PBE-GGA) results for an optimized crystal structure of CaYRh.

The value obtained for the density of states at the Fermi level is 6.19 states/eV per cell.

The structure belongs to space group Cmcm (No. 63); the cell edges are 4.120, 13.473 and 5.431 Å and the angles 90.00°, 90.00° and 90.00°. The inequivalent atoms are Ca at (0.000, 0.053, 0.250), Y at (0.000, 0.246, 0.750) and Rh at (0.000, 0.382, 0.250).

## Q
DFT (PBE-GGA) results for an optimized crystal structure of CaYRh.

The value obtained for the density of states at the Fermi level is 2.64 states/eV per cell.

The structure belongs to space group I4mm (No. 107); the cell edges are 3.451, 3.451 and 13.215 Å and the angles 90.00°, 90.00° and 90.00°. The inequivalent atoms are Ca at (0.000, 0.000, 0.000), Y at (0.000, 0.000, 0.744) and Rh at (0.000, 0.000, 0.358).

Stability ranking, top entry: Q; the second entry is 10.4 kJ/mol of atoms less favorable.

## P
DFT (PBE-GGA) results for an optimized crystal structure of Ca2YRh2.

The value obtained for the density of states at the Fermi level is 3.73 states/eV per cell.

The structure belongs to space group P4/mbm (No. 127); the cell edges are 8.035, 8.035 and 3.564 Å and the angles 90.00°, 90.00° and 90.00°. The inequivalent atoms are Ca at (0.139, 0.361, 0.000), Y at (0.000, 0.000, 0.500) and Rh at (0.165, 0.665, 0.500).

## Q
DFT (PBE-GGA) results for an optimized crystal structure of Ca2YRh2.

The value obtained for the density of states at the Fermi level is 5.90 states/eV per cell.

The structure belongs to space group I4/mmm (No. 139); the cell edges are 4.307, 4.307 and 12.842 Å and the angles 90.00°, 90.00° and 90.00°. The inequivalent atoms are Ca at (0.000, 0.500, 0.250), Y at (0.000, 0.000, 0.000) and Rh at (0.000, 0.000, 0.401).

Stability ranking, top entry: P; the second entry is 15.0 kJ/mol of atoms less favorable.

## P
DFT (PBE-GGA) results for an optimized crystal structure of CaZn3Rh.

The value obtained for the density of states at the Fermi level is 6.89 states/eV per cell.

The structure belongs to space group Pm-3m (No. 221); the cell edges are 5.262, 5.262 and 5.262 Å and the angles 90.00°, 90.00° and 90.00°. The inequivalent atoms are Ca at (0.000, 0.000, 0.000), Zn at (0.000, 0.000, 0.500) and Rh at (0.500, 0.500, 0.500).

## Q
DFT (PBE-GGA) results for an optimized crystal structure of CaZn3Rh.

The value obtained for the density of states at the Fermi level is 2.78 states/eV per cell.

The structure belongs to space group Pm-3m (No. 221); the cell edges are 4.790, 4.790 and 4.790 Å and the angles 90.00°, 90.00° and 90.00°. The inequivalent atoms are Ca at (0.000, 0.000, 0.000), Zn at (0.000, 0.500, 0.500) and Rh at (0.500, 0.500, 0.500).

Stability ranking, top entry: Q; the second entry is 154.8 kJ/mol of atoms less favorable.

## P
DFT (PBE-GGA) results for an optimized crystal structure of CaZn4Rh.

The value obtained for the density of states at the Fermi level is 17.73 states/eV per cell.

The structure belongs to space group F-43m (No. 216); the cell edges are 7.291, 7.291 and 7.291 Å and the angles 90.00°, 90.00° and 90.00°. The inequivalent atoms are Ca at (0.000, 0.000, 0.000), Zn at (0.124, 0.124, 0.624) and Rh at (0.250, 0.250, 0.250).

## Q
DFT (PBE-GGA) results for an optimized crystal structure of CaZn4Rh.

The value obtained for the density of states at the Fermi level is 5.58 states/eV per cell.

The structure belongs to space group Pmma (No. 51); the cell edges are 7.817, 4.067 and 6.996 Å and the angles 90.00°, 90.00° and 90.00°. The inequivalent atoms are Ca at (0.250, 0.000, 0.120), Zn at (0.000, 0.000, 0.500), Zn at (0.062, 0.500, 0.816), Zn at (0.250, 0.500, 0.470) and Rh at (0.250, 0.000, 0.713).

Stability ranking, top entry: Q; the second entry is 1.8 kJ/mol of atoms less favorable.

## P
DFT (PBE-GGA) results for an optimized crystal structure of Ca2Zn3Rh.

The value obtained for the density of states at the Fermi level is 6.89 states/eV per cell.

The structure belongs to space group C2/m (No. 12); the cell edges are 9.368, 5.464 and 5.468 Å and the angles 90.00°, 124.90° and 90.00°. The inequivalent atoms are Ca at (0.128, 0.000, 0.383), Zn at (0.000, 0.500, 0.000), Zn at (0.250, 0.250, 0.000) and Rh at (0.000, 0.500, 0.500).

## Q
DFT (PBE-GGA) results for an optimized crystal structure of Ca2Zn3Rh.

The value obtained for the density of states at the Fermi level is 7.08 states/eV per cell.

The structure belongs to space group Immm (No. 71); the cell edges are 4.629, 5.291 and 10.836 Å and the angles 90.00°, 90.00° and 90.00°. The inequivalent atoms are Ca at (0.000, 0.000, 0.215), Zn at (0.000, 0.500, 0.110), Zn at (0.000, 0.500, 0.500) and Rh at (0.000, 0.000, 0.500).

Stability ranking, top entry: P; the second entry is 21.8 kJ/mol of atoms less favorable.

## P
DFT (PBE-GGA) results for an optimized crystal structure of CaZr2Rh.

The value obtained for the density of states at the Fermi level is 9.92 states/eV per cell.

The structure belongs to space group C2/m (No. 12); the cell edges are 5.756, 10.374 and 3.134 Å and the angles 90.00°, 113.75° and 90.00°. The inequivalent atoms are Ca at (0.000, 0.000, 0.000), Zr at (0.250, 0.250, 0.500) and Rh at (0.000, 0.500, 0.000).

## Q
DFT (PBE-GGA) results for an optimized crystal structure of CaZr2Rh.

The value obtained for the density of states at the Fermi level is 21.05 states/eV per cell.

The structure belongs to space group F-43m (No. 216); the cell edges are 7.012, 7.012 and 7.012 Å and the angles 90.00°, 90.00° and 90.00°. The inequivalent atoms are Ca at (0.000, 0.000, 0.000), Zr at (0.000, 0.000, 0.500), Zr at (0.250, 0.250, 0.250) and Rh at (0.250, 0.250, 0.750).

## R
DFT (PBE-GGA) results for an optimized crystal structure of CaZr2Rh.

The value obtained for the density of states at the Fermi level is 7.25 states/eV per cell.

The structure belongs to space group Cmmm (No. 65); the cell edges are 5.562, 9.857 and 3.144 Å and the angles 90.00°, 90.00° and 90.00°. The inequivalent atoms are Ca at (0.000, 0.000, 0.000), Zr at (0.250, 0.250, 0.500) and Rh at (0.000, 0.500, 0.000).

Stability ranking, top entry: P; the second entry is 2.9 kJ/mol of atoms less favorable.